VASP calculation (PBE-GGA) on a geometry-optimized GdMgS2 structure.

Values from the calculation:
* energy relative to the elements, uncorrected: -37.68 kcal/mol of atoms

Cell: 3.7873 3.7873 19.3806 Å, 90.00 90.00 120.00°
Space group R-3m (No. 166, hexagonal axes)
One atom of each set of equivalent atoms:
Gd: 0.0000 0.0000 0.0000 [3 per cell]
Mg: 0.0000 0.0000 0.5000 [3 per cell]
S: 0.0000 0.0000 0.2417 [6 per cell]